[1]
Compound: CeErNp2S4
Source: Alexandria
Functional: GGA-PBE
Structure: optimized geometry

```
data_CeErNp2S4
_cell_length_a 3.923
_cell_length_b 6.833
_cell_length_c 6.760
_cell_angle_alpha 109.44
_cell_angle_beta 90.00
_cell_angle_gamma 90.00
_space_group_name_H-M_alt 'P 1'
_space_group_IT_number 1
loop_
_space_group_symop_operation_xyz
'x,y,z'
loop_
_atom_site_label
_atom_site_type_symbol
_atom_site_fract_x
_atom_site_fract_y
_atom_site_fract_z
_atom_site_occupancy
Ce1 Ce 0.000 0.000 0.000 1
Er1 Er 0.500 0.500 0.000 1
Np1 Np 0.500 0.000 0.500 1
Np2 Np 0.000 0.500 0.500 1
S1 S 0.500 0.259 0.256 1
S2 S 0.500 0.741 0.744 1
S3 S 0.000 0.256 0.749 1
S4 S 0.000 0.744 0.251 1
```

Summary:
As for the density of states at the Fermi level: 1.9339 states/eV/atom. The value obtained for the total magnetic moment is 9.20 μB per cell. The calculation puts the formation energy (no corrections) at -1.699 eV per atom.

---

[2]
Compound: SmAlGa2Pt4
Source: Alexandria
Functional: GGA-PBE
Structure: optimized geometry

```
data_SmAlGa2Pt4
_cell_length_a 4.327
_cell_length_b 4.327
_cell_length_c 9.011
_cell_angle_alpha 76.11
_cell_angle_beta 76.11
_cell_angle_gamma 60.00
_space_group_name_H-M_alt 'P 1'
_space_group_IT_number 1
loop_
_space_group_symop_operation_xyz
'x,y,z'
loop_
_atom_site_label
_atom_site_type_symbol
_atom_site_fract_x
_atom_site_fract_y
_atom_site_fract_z
_atom_site_occupancy
Sm1 Sm 0.000 0.000 0.000 1
Al1 Al 0.500 0.500 0.500 1
Ga1 Ga 0.753 0.753 0.742 1
Ga2 Ga 0.247 0.247 0.258 1
Pt1 Pt 0.404 0.404 0.788 1
Pt2 Pt 0.864 0.864 0.409 1
Pt3 Pt 0.136 0.136 0.591 1
Pt4 Pt 0.596 0.596 0.212 1
```

Summary:
As for the density of states at the Fermi level: 0.3161 states/eV/atom. For the formation energy, the calculation gives -0.927 eV/atom. The value obtained for the total magnetic moment is 0.00 μB per cell.

---

[3]
Compound: CeDy5Ho12
Source: Alexandria
Functional: GGA-PBE
Structure: optimized geometry

```
data_CeDy5Ho12
_cell_length_a 14.959
_cell_length_b 10.585
_cell_length_c 4.994
_cell_angle_alpha 90.00
_cell_angle_beta 90.00
_cell_angle_gamma 45.08
_space_group_name_H-M_alt 'P 1'
_space_group_IT_number 1
loop_
_space_group_symop_operation_xyz
'x,y,z'
loop_
_atom_site_label
_atom_site_type_symbol
_atom_site_fract_x
_atom_site_fract_y
_atom_site_fract_z
_atom_site_occupancy
Ce1 Ce 0.000 0.000 0.000 1
Dy1 Dy 0.500 0.000 0.500 1
Dy2 Dy 0.166 0.669 0.500 1
Dy3 Dy 0.834 0.331 0.500 1
Dy4 Dy 0.667 0.667 0.000 1
Dy5 Dy 0.333 0.333 0.000 1
Ho1 Ho 0.834 0.000 0.500 1
Ho2 Ho 0.166 0.000 0.500 1
Ho3 Ho 0.667 0.000 0.000 1
Ho4 Ho 0.333 0.000 0.000 1
Ho5 Ho 0.334 0.666 0.000 1
Ho6 Ho 0.000 0.666 0.000 1
Ho7 Ho 0.000 0.334 0.000 1
Ho8 Ho 0.666 0.334 0.000 1
Ho9 Ho 0.500 0.332 0.500 1
Ho10 Ho 0.832 0.668 0.500 1
Ho11 Ho 0.168 0.332 0.500 1
Ho12 Ho 0.500 0.668 0.500 1
```

Summary:
As for the density of states at the Fermi level: 1.5117 states/eV/atom. For the formation energy, the calculation gives 0.031 eV/atom. The value obtained for the total magnetic moment is 1.06 μB per cell.